Entry 1:
# Nd3Sm4Tl

An optimized crystal structure of Nd3Sm4Tl (PBE, Alexandria).

Computed properties:
The calculation puts the relative energy among the computed polymorphs at 13 meV per atom. The magnetization comes out at 0.000 μB per atom. As for the total energy: -36.06 eV/f.u.

Unit cell a=4.9806 b=10.2261 c=10.2183 alpha=90.00 beta=90.00 gamma=90.00
With the nearest neighbours (Å) after each atom.
Positions (direct):
Nd (0.2500, 0.0002, 0.1188)  5 Nd 3.48-3.57, 3 Tl 3.57-3.59, 4 Sm 3.59-3.65
Nd (0.2500, 0.2500, 0.8767)  6 Nd 3.56-3.57, 4 Sm 3.57-3.63, 2 Tl 3.58
Nd (0.2500, 0.4998, 0.1188)  5 Nd 3.48-3.57, 3 Tl 3.57-3.59, 4 Sm 3.59-3.65
Nd (0.7500, 0.9998, 0.8812)  5 Nd 3.48-3.57, 3 Tl 3.57-3.59, 4 Sm 3.59-3.65
Nd (0.7500, 0.5002, 0.8812)  5 Nd 3.48-3.57, 3 Tl 3.57-3.59, 4 Sm 3.59-3.65
Nd (0.7500, 0.7500, 0.1233)  6 Nd 3.56-3.57, 4 Sm 3.57-3.63, 2 Tl 3.58
Sm (0.2500, 0.2500, 0.3703)  2 Tl 3.51, 8 Sm 3.54-3.70, 2 Nd 3.62
Sm (0.2500, 0.5035, 0.6283)  1 Tl 3.54, 8 Sm 3.54-3.70, 3 Nd 3.59-3.63
Sm (0.2500, 0.7500, 0.3736)  4 Nd 3.57-3.65, 8 Sm 3.59-3.62
Sm (0.2500, 0.9965, 0.6283)  1 Tl 3.54, 8 Sm 3.54-3.70, 3 Nd 3.59-3.63
Sm (0.7500, 0.0035, 0.3717)  1 Tl 3.54, 8 Sm 3.54-3.70, 3 Nd 3.59-3.63
Sm (0.7500, 0.2500, 0.6264)  4 Nd 3.57-3.65, 8 Sm 3.59-3.62
Sm (0.7500, 0.4965, 0.3717)  1 Tl 3.54, 8 Sm 3.54-3.70, 3 Nd 3.59-3.63
Sm (0.7500, 0.7500, 0.6298)  2 Tl 3.51, 8 Sm 3.54-3.70, 2 Nd 3.62
Tl (0.2500, 0.7500, 0.8720)  4 Sm 3.51-3.54, 8 Nd 3.57-3.59
Tl (0.7500, 0.2500, 0.1280)  4 Sm 3.51-3.54, 8 Nd 3.57-3.59



Entry 2:
# LiSbIrPt

An optimized crystal structure of LiSbIrPt (PBE, Alexandria).

Computed properties:
The value obtained for the raw formation energy is -29 kJ per mole of atoms. The magnetization comes out at 0.000 μB per atom. As for the total energy: -22.13 eV/f.u.

Unit cell a=4.4530 b=4.4530 c=4.4530 alpha=60.00 beta=60.00 gamma=60.00
With the nearest neighbours (Å) after each atom.
Positions (direct):
Li (0.0000, 0.0000, 0.0000)  4 Ir 2.73, 4 Pt 2.73
Sb (0.5000, 0.5000, 0.5000)  4 Ir 2.73, 4 Pt 2.73
Ir (0.7500, 0.7500, 0.7500)  4 Sb 2.73, 4 Li 2.73
Pt (0.2500, 0.2500, 0.2500)  4 Sb 2.73, 4 Li 2.73



Entry 3:
# YCoSb

An optimized crystal structure of YCoSb (PBE, Alexandria).

Computed properties:
The value obtained for the raw formation energy is -39 kJ per mole of atoms. The magnetization comes out at 0.182 μB per atom. As for the total energy: -18.90 eV/f.u.

Unit cell a=6.2401 b=6.2401 c=11.2579 alpha=90.00 beta=90.00 gamma=120.00
With the nearest neighbours (Å) after each atom.
Positions (direct):
Y (0.0000, 0.0000, 0.0000)  4 Co 3.32, 4 Sb 3.40, 4 Y 3.64
Y (0.0000, 0.0000, 0.3333)  4 Co 3.32, 4 Sb 3.40, 4 Y 3.64
Y (0.0000, 0.0000, 0.6667)  4 Co 3.32, 4 Sb 3.40, 4 Y 3.64
Y (0.0000, 0.5000, 0.1667)  4 Co 2.90, 6 Sb 3.16-3.22
Y (0.5000, 0.0000, 0.5000)  4 Co 2.90, 6 Sb 3.16-3.22
Y (0.5000, 0.5000, 0.8333)  4 Co 2.90, 6 Sb 3.16-3.22
Co (0.2099, 0.6050, 0.6667)  1 Co 2.27
Co (0.3950, 0.6050, 0.3333)  1 Co 2.27
Co (0.3950, 0.7901, 0.0000)  1 Co 2.27
Co (0.6050, 0.2099, 0.0000)  1 Co 2.27
Co (0.6050, 0.3950, 0.3333)  1 Co 2.27
Co (0.7901, 0.3950, 0.6667)  1 Co 2.27
Sb (0.0000, 0.5000, 0.4530)  4 Co 2.59-2.66
Sb (0.0000, 0.5000, 0.8804)  4 Co 2.59-2.66
Sb (0.5000, 0.0000, 0.2137)  4 Co 2.59-2.66
Sb (0.5000, 0.0000, 0.7863)  4 Co 2.59-2.66
Sb (0.5000, 0.5000, 0.1196)  4 Co 2.59-2.66
Sb (0.5000, 0.5000, 0.5470)  4 Co 2.59-2.66



Entry 4:
# CsHgGeO4

An optimized crystal structure of CsHgGeO4 (PBE, Alexandria).

Computed properties:
The value obtained for the raw formation energy is -101 kJ per mole of atoms. The magnetization comes out at 0.149 μB per atom. As for the total energy: -32.90 eV/f.u.

Unit cell a=5.8944 b=6.1630 c=7.9902 alpha=90.00 beta=107.77 gamma=90.00
With the nearest neighbours (Å) after each atom.
Positions (direct):
Cs (0.2064, 0.2500, 0.4362)  2 O 2.89-3.05
Cs (0.7936, 0.7500, 0.5638)  2 O 2.89-3.05
Hg (0.2994, 0.2500, 0.9541)  6 O 2.22-2.48
Hg (0.7006, 0.7500, 0.0459)  6 O 2.22-2.48
Ge (0.2365, 0.7500, 0.1474)  4 O 1.77-1.80
Ge (0.7635, 0.2500, 0.8526)  4 O 1.77-1.80
O (0.0090, 0.7500, 0.9408)  1 Ge 1.78
O (0.0707, 0.7500, 0.2986)  1 Ge 1.77
O (0.4509, 0.5347, 0.1700)  1 Ge 1.80
O (0.4509, 0.9653, 0.1700)  1 Ge 1.80
O (0.5491, 0.0347, 0.8300)  1 Ge 1.80
O (0.5491, 0.4653, 0.8300)  1 Ge 1.80
O (0.9293, 0.2500, 0.7014)  1 Ge 1.77
O (0.9910, 0.2500, 0.0592)  1 Ge 1.78



Entry 5:
# PuIn2Hg3

An optimized crystal structure of PuIn2Hg3 (PBE, Alexandria).

Computed properties:
The magnetization comes out at 0.952 μB per atom. As for the total energy: -20.85 eV/f.u.

Unit cell a=7.2397 b=7.2397 c=6.1016 alpha=90.00 beta=90.00 gamma=99.93
With the nearest neighbours (Å) after each atom.
Positions (direct):
Pu (0.2247, 0.7753, 0.7500)  7 Hg 3.14-3.42, 4 In 3.37
Pu (0.7753, 0.2247, 0.2500)  7 Hg 3.14-3.42, 4 In 3.37
In (0.1814, 0.1814, 0.0000)  3 In 3.05-3.38, 4 Hg 3.15-3.34, 2 Pu 3.37
In (0.1814, 0.1814, 0.5000)  3 In 3.05-3.38, 4 Hg 3.15-3.34, 2 Pu 3.37
In (0.8186, 0.8186, 0.0000)  3 In 3.05-3.38, 4 Hg 3.15-3.34, 2 Pu 3.37
In (0.8186, 0.8186, 0.5000)  3 In 3.05-3.38, 4 Hg 3.15-3.34, 2 Pu 3.37
Hg (0.0861, 0.5891, 0.2500)  2 Hg 3.03-3.09, 2 In 3.15, 1 Pu 3.16
Hg (0.4109, 0.9139, 0.2500)  2 Hg 3.03-3.09, 2 In 3.15, 1 Pu 3.16
Hg (0.4918, 0.5082, 0.2500)  4 Hg 3.06-3.09, 1 Pu 3.14, 4 In 3.34
Hg (0.5082, 0.4918, 0.7500)  4 Hg 3.06-3.09, 1 Pu 3.14, 4 In 3.34
Hg (0.5891, 0.0861, 0.7500)  2 Hg 3.03-3.09, 2 In 3.15, 1 Pu 3.16
Hg (0.9139, 0.4109, 0.7500)  2 Hg 3.03-3.09, 2 In 3.15, 1 Pu 3.16



Entry 6:
# Ba2HgRhO6

An optimized crystal structure of Ba2HgRhO6 (PBE, Alexandria).

Computed properties:
The value obtained for the raw formation energy is -132 kJ per mole of atoms. The magnetization comes out at 0.299 μB per atom. As for the total energy: -54.90 eV/f.u.

Unit cell a=6.3143 b=6.5259 c=10.0789 alpha=90.00 beta=128.50 gamma=90.00
With the nearest neighbours (Å) after each atom.
Positions (direct):
Ba (0.2437, 0.0495, 0.2502)  8 O 2.66-2.97
Ba (0.2437, 0.4505, 0.7502)  8 O 2.66-2.97
Ba (0.7563, 0.5495, 0.2498)  8 O 2.66-2.97
Ba (0.7563, 0.9505, 0.7498)  8 O 2.66-2.97
Hg (0.0000, 0.0000, 0.5000)  2 O 2.11
Hg (0.0000, 0.5000, 0.0000)  2 O 2.11
Rh (0.5000, 0.0000, 0.0000)  6 O 1.94-2.06
Rh (0.5000, 0.5000, 0.5000)  6 O 1.94-2.06
O (0.2162, 0.1729, 0.9626)  1 Rh 1.95
O (0.2162, 0.3271, 0.4626)  1 Rh 1.95
O (0.2786, 0.7403, 0.4470)  1 Rh 1.94
O (0.2786, 0.7597, 0.9470)  1 Rh 1.94
O (0.3487, 0.0460, 0.7524)  1 Rh 2.06, 1 Hg 2.11
O (0.3487, 0.4540, 0.2524)  1 Rh 2.06, 1 Hg 2.11
O (0.6513, 0.5460, 0.7476)  1 Rh 2.06, 1 Hg 2.11
O (0.6513, 0.9540, 0.2476)  1 Rh 2.06, 1 Hg 2.11
O (0.7214, 0.2403, 0.0530)  1 Rh 1.94
O (0.7214, 0.2597, 0.5530)  1 Rh 1.94
O (0.7838, 0.6729, 0.5374)  1 Rh 1.95
O (0.7838, 0.8271, 0.0374)  1 Rh 1.95